Compound: La2ZnCuNi6
Source: Alexandria
Functional: PBE-GGA
Structure: relaxed

Computed properties:
density of states at the Fermi level: 0.91 states/eV per atom
formation enthalpy at 0 K: 0.163 eV/atom
uncorrected energy: -0.3549 Ry per atom
crystal system: cubic

Unit cell a=6.3010 b=6.3010 c=6.3010 alpha=60.00 beta=60.00 gamma=90.00
With the nearest neighbours (Å) after each atom.
Sites, in units of the cell vectors:
Ni (0.7493, 0.7493, 0.0000)  1 Cu 2.22, 1 Zn 2.23
Cu (0.5000, 0.5000, 0.0000)  6 Ni 2.22
La (0.2500, 0.7500, 0.5000)  12 Ni 3.15
Ni (0.2507, 0.7493, 0.0000)  1 Cu 2.22, 1 Zn 2.23
La (0.7500, 0.2500, 0.5000)  12 Ni 3.15
Zn (0.0000, 0.0000, 0.0000)  6 Ni 2.23
Ni (0.7493, 0.7493, 0.5013)  1 Cu 2.22, 1 Zn 2.23
Ni (0.2507, 0.2507, 0.4987)  1 Cu 2.22, 1 Zn 2.23
Ni (0.7493, 0.2507, 0.0000)  1 Cu 2.22, 1 Zn 2.23
Ni (0.2507, 0.2507, 0.0000)  1 Cu 2.22, 1 Zn 2.23